No. 1
VASP calculation (PBE) on a geometry-optimized PmGa2CuPd structure.

a b c (Å): 5.939 5.939 5.939
angles (deg): 137.68 137.68 61.40
Positions (direct):
Pm 0.000 0.000 0.000
Ga 0.375 0.375 0.000
Ga 0.625 0.625 0.000
Cu 0.750 0.250 0.500
Pd 0.250 0.750 0.500

- ΔH_f (0 K) (kJ/mol of atoms) = -56.97
- calculated volume (Å³ per cell) = 94
- calculated total energy (eV per atom) = -4.609
- SG = I-4m2
- N(E_F) (states/eV per cell) = 4.591

---

No. 2
VASP calculation (PBE) on a geometry-optimized Sc2Al6Si structure.

a b c (Å): 7.000 7.000 6.359
angles (deg): 111.03 111.03 33.03
Positions (direct):
Sc 0.053 0.053 0.306
Sc 0.947 0.947 0.694
Al 0.172 0.172 0.000
Al 0.280 0.280 0.650
Al 0.388 0.388 0.328
Al 0.612 0.612 0.672
Al 0.720 0.720 0.350
Al 0.828 0.828 0.000
Si 0.500 0.500 0.000

- calculated volume (Å³ per cell) = 157
- calculated total energy (eV per atom) = -4.779
- SG = C2/m
- formation energy (no corrections) (kJ/mol of formula units) = -238
- N(E_F) (states/eV per cell) = 4.182

---

No. 3
VASP calculation (PBE) on a geometry-optimized CrCoPt4 structure.

a b c (Å): 5.218 5.218 5.218
angles (deg): 60.00 60.00 60.00
Positions (direct):
Cr 0.000 0.000 0.000
Co 0.750 0.750 0.750
Pt 0.375 0.375 0.375
Pt 0.375 0.375 0.875
Pt 0.375 0.875 0.375
Pt 0.875 0.375 0.375

- ΔH_f (0 K) (kJ/mol of atoms) = 25.46
- calculated volume (Å³ per cell) = 100
- calculated total energy (eV per atom) = -6.552
- SG = F-43m
- N(E_F) (states/eV per cell) = 10.445

---

No. 4
VASP calculation (PBE) on a geometry-optimized Cs2MgBO4 structure.

a b c (Å): 12.765 11.503 6.480
angles (deg): 85.63 63.96 30.41
Positions (direct):
Cs 0.048 0.048 0.702
Cs 0.298 0.298 0.952
Cs 0.702 0.702 0.048
Cs 0.952 0.952 0.298
Mg 0.125 0.125 0.125
Mg 0.875 0.875 0.875
B 0.375 0.375 0.375
B 0.625 0.625 0.625
O 0.082 0.591 0.522
O 0.304 0.522 0.591
O 0.409 0.918 0.696
O 0.478 0.696 0.918
O 0.522 0.304 0.082
O 0.591 0.082 0.304
O 0.696 0.478 0.409
O 0.918 0.409 0.478

- calculated volume (Å³ per cell) = 323
- calculated total energy (eV per atom) = -5.575
- SG = Fddd
- formation energy (no corrections) (kJ/mol of formula units) = -1427
- N(E_F) (states/eV per cell) = 5.909

---

No. 5
VASP calculation (PBE) on a geometry-optimized LiYAlAg structure.

a b c (Å): 4.772 4.772 4.772
angles (deg): 60.00 60.00 60.00
Positions (direct):
Li 0.000 0.000 0.000
Y 0.250 0.250 0.250
Al 0.750 0.750 0.750
Ag 0.500 0.500 0.500

- ΔH_f (0 K) (kJ/mol of atoms) = -32.09
- calculated volume (Å³ per cell) = 77
- calculated total energy (eV per atom) = -4.075
- SG = F-43m
- N(E_F) (states/eV per cell) = 0.627

---

No. 6
VASP calculation (PBE) on a geometry-optimized Li2ZrIn structure.

a b c (Å): 5.173 5.173 5.541
angles (deg): 95.71 95.71 33.06
Positions (direct):
Li 0.243 0.243 0.237
Li 0.757 0.757 0.763
Zr 0.000 0.000 0.500
In 0.500 0.500 0.000

- ΔH_f (0 K) (kJ/mol of atoms) = -5.34
- calculated volume (Å³ per cell) = 80
- calculated total energy (eV per atom) = -3.834
- SG = C2/m
- N(E_F) (states/eV per cell) = 1.292

---

No. 7
VASP calculation (PBE) on a geometry-optimized CeTaMn4 structure.

a b c (Å): 4.996 4.996 4.996
angles (deg): 60.00 60.00 60.00
Positions (direct):
Ce 0.000 0.000 0.000
Ta 0.250 0.250 0.250
Mn 0.127 0.624 0.624
Mn 0.624 0.127 0.624
Mn 0.624 0.624 0.127
Mn 0.624 0.624 0.624

- ΔH_f (0 K) (kJ/mol of atoms) = 10.85
- calculated volume (Å³ per cell) = 88
- calculated total energy (eV per atom) = -8.965
- SG = F-43m
- N(E_F) (states/eV per cell) = 8.804

---

No. 8
VASP calculation (PBE) on a geometry-optimized Y2InS5 structure.

a b c (Å): 7.310 7.310 12.223
angles (deg): 90.00 90.00 136.70
Positions (direct):
Y 0.163 0.837 0.570
Y 0.163 0.837 0.930
Y 0.837 0.163 0.070
Y 0.837 0.163 0.430
In 0.177 0.823 0.250
In 0.823 0.177 0.750
S 0.033 0.967 0.102
S 0.033 0.967 0.398
S 0.282 0.718 0.750
S 0.304 0.696 0.088
S 0.304 0.696 0.412
S 0.696 0.304 0.588
S 0.696 0.304 0.912
S 0.718 0.282 0.250
S 0.967 0.033 0.602
S 0.967 0.033 0.898

- calculated volume (Å³ per cell) = 448
- calculated total energy (eV per atom) = -5.823
- SG = Cmcm
- formation energy (no corrections) (kJ/mol of formula units) = -992
- N(E_F) (states/eV per cell) = 9.649